(1)
KTl2Si (PBE-GGA, relaxed); DOS(E_F) = 1.17 states/eV/f.u.; size of the total moment = 0.0 Bohr magnetons per cell; energy above the lowest structure with this stoichiometry = 82.7 meV per atom; energy relative to the elements, uncorrected = 77 kJ/mol of formula units; E_tot = -2.613 eV per atom
1.0
5.095 -1.764 0.000
5.095 1.764 0.000
-2.360 0.000 7.487
K Tl Si
1 2 1
Direct
0.000 0.000 0.000
0.600 0.600 0.594
0.797 0.797 0.310
0.336 0.336 0.627

(2)
CdIn2I2 (PBE-GGA, relaxed); DOS(E_F) = 0.00 states/eV/f.u.; size of the total moment = 0.0 Bohr magnetons per cell; energy above the lowest structure with this stoichiometry = 0.0 meV per atom; energy relative to the elements, uncorrected = -128 kJ/mol of formula units; E_tot = -2.164 eV per atom
1.0
8.707 0.000 0.000
0.000 8.707 0.000
0.000 0.000 4.827
Cd In I
2 4 4
Direct
0.000 0.000 0.000
0.500 0.500 0.000
0.141 0.359 0.000
0.359 0.859 0.000
0.641 0.141 0.000
0.859 0.641 0.000
0.170 0.670 0.500
0.330 0.170 0.500
0.670 0.830 0.500
0.830 0.330 0.500

(3)
ScAuCl (PBE-GGA, relaxed); DOS(E_F) = 2.22 states/eV/f.u.; size of the total moment = 0.2 Bohr magnetons per cell; energy above the lowest structure with this stoichiometry = 64.6 meV per atom; energy relative to the elements, uncorrected = -282 kJ/mol of formula units; E_tot = -4.793 eV per atom
1.0
-1.601 1.601 6.780
1.601 -1.601 6.780
1.601 1.601 -6.780
Sc Au Cl
1 1 1
Direct
0.000 0.000 0.000
0.631 0.631 0.000
0.387 0.387 0.000

(4)
Pu2POs (PBE-GGA, relaxed); formation energy from the elements = -0.434 eV/atom; DOS(E_F) = 9.55 states/eV/f.u.; size of the total moment = 9.4 Bohr magnetons per cell; E_tot = -11.760 eV per atom
1.0
3.627 0.000 0.000
0.000 3.627 0.000
0.000 0.000 5.771
Pu P Os
2 1 1
Direct
0.000 0.000 0.242
0.000 0.000 0.758
0.500 0.500 0.000
0.500 0.500 0.500

Question: What is the size of the total moment in the second record?
Answer: 0.0 Bohr magnetons per cell

Question: What is the formula in the second record?
Answer: CdIn2I2

Question: The lowest DOS(E_F) belongs to which entry?
Answer: CdIn2I2